Entry 1:
Material: CsKSb2
Method: DFT, GGA-PBE
State: relaxed

Values from the calculation:
energy above the lowest structure with this stoichiometry: 0.0 kJ per mole of atoms
spin magnetization: 0.0 μB per formula unit

Unit cell a=4.637 b=7.236 c=10.755 alpha=90.00 beta=90.00 gamma=90.00
Element x y z (fractional)
Cs1 0.000 0.138 0.685
Cs2 0.000 0.862 0.185
K1 0.500 0.367 0.309
K2 0.500 0.633 0.809
Sb1 0.000 0.617 0.532
Sb2 0.000 0.383 0.032
Sb3 0.500 0.845 0.474
Sb4 0.500 0.155 0.974

Entry 2:
Material: Tb8Dy3Ho3
Method: DFT, GGA-PBE
State: relaxed

Values from the calculation:
DFT formation energy: 1.6 eV/f.u.
energy above the lowest structure with this stoichiometry: 0.2 kJ per mole of atoms
spin magnetization: 0.0 μB per formula unit

Unit cell a=5.589 b=9.586 c=9.586 alpha=101.72 beta=73.05 gamma=73.05
Element x y z (fractional)
Tb1 0.658 0.119 0.564
Tb2 0.342 0.881 0.436
Tb3 0.658 0.564 0.119
Tb4 0.342 0.436 0.881
Tb5 0.840 0.763 0.556
Tb6 0.160 0.237 0.444
Tb7 0.840 0.556 0.763
Tb8 0.160 0.444 0.237
Dy1 0.500 0.500 0.500
Dy2 0.799 0.201 0.201
Dy3 0.201 0.799 0.799
Ho1 0.500 0.000 0.000
Ho2 0.000 0.819 0.181
Ho3 0.000 0.181 0.819

Entry 3:
Material: Sm3TlHg
Method: DFT, GGA-PBE
State: relaxed

Values from the calculation:
DFT formation energy: -1.6 eV/f.u.
energy above the lowest structure with this stoichiometry: 0.2 kJ per mole of atoms
spin magnetization: 1.2 μB per formula unit

Unit cell a=5.331 b=5.326 c=10.748 alpha=90.00 beta=75.64 gamma=90.00
Site moments in Bohr magnetons follow the coordinates.
Element x y z (fractional)
Sm1 0.765 0.250 0.119  0.17
Sm2 0.384 0.250 0.881  0.18
Sm3 0.574 0.250 0.500  0.18
Sm4 0.264 0.750 0.119  0.18
Sm5 0.884 0.750 0.881  0.17
Sm6 0.074 0.750 0.500  0.18
Tl1 0.670 0.750 0.308  0.01
Tl2 0.978 0.250 0.692  0.01
Hg1 0.477 0.750 0.695  0.01
Hg2 0.172 0.250 0.305  0.01

Entry 4:
Material: TaTl3Fe
Method: DFT, GGA-PBE
State: relaxed

Values from the calculation:
DFT formation energy: 6.8 eV/f.u.
energy above the lowest structure with this stoichiometry: 0.0 kJ per mole of atoms
spin magnetization: 0.0 μB per formula unit

Unit cell a=4.970 b=4.970 c=4.970 alpha=90.00 beta=90.00 gamma=90.00
Element x y z (fractional)
Tl1 0.000 0.500 0.000
Tl2 0.000 0.000 0.500
Tl3 0.500 0.000 0.000
Fe1 0.000 0.000 0.000
Ta1 0.500 0.500 0.500

Entry 5:
Material: LiTi2SiI
Method: DFT, GGA-PBE
State: relaxed

Values from the calculation:
VASP energy: -4.721 eV per atom
spin magnetization: 3.9 μB per formula unit

Unit cell a=4.930 b=4.712 c=4.930 alpha=90.00 beta=90.00 gamma=90.00
Site moments in Bohr magnetons follow the coordinates.
Element x y z (fractional)
I1 0.500 0.500 0.500  -0.01
Si1 0.000 0.000 0.000  -0.07
Li1 0.000 0.500 0.000  0.00
Ti1 0.000 0.000 0.500  1.60
Ti2 0.500 0.000 0.000  1.26

Entry 6:
Material: CoCu5
Method: DFT, GGA-PBE
State: relaxed

Values from the calculation:
DFT formation energy: 0.5 eV/f.u.
spin magnetization: 1.5 μB per formula unit

Unit cell a=6.810 b=6.810 c=4.199 alpha=90.00 beta=90.00 gamma=158.76
Site moments in Bohr magnetons follow the coordinates.
Element x y z (fractional)
Co1 0.000 0.000 0.000  1.51
Cu1 0.223 0.777 0.500  -0.01
Cu2 0.333 0.667 0.000  0.02
Cu3 0.555 0.445 0.500  0.05
Cu4 0.665 0.335 0.000  0.02
Cu5 0.890 0.110 0.500  0.02

Entry 7:
Material: NdHo2Lu
Method: DFT, GGA-PBE
State: relaxed

Values from the calculation:
DFT formation energy: 0.1 eV/f.u.
energy above the lowest structure with this stoichiometry: 0.0 kJ per mole of atoms
spin magnetization: 0.0 μB per formula unit

Unit cell a=5.039 b=5.003 c=5.003 alpha=90.00 beta=90.00 gamma=90.00
Element x y z (fractional)
Lu1 0.500 0.000 0.000
Nd1 0.500 0.500 0.500
Ho1 0.000 0.000 0.500
Ho2 0.000 0.500 0.000

Entry 8:
Material: AsC2Br2
Method: DFT, GGA-PBE
State: relaxed

Values from the calculation:
energy above the lowest structure with this stoichiometry: 65.2 kJ per mole of atoms
spin magnetization: 0.0 μB per formula unit

Unit cell a=7.311 b=7.311 c=3.346 alpha=90.00 beta=90.00 gamma=90.00
Element x y z (fractional)
As1 0.000 0.000 0.000
As2 0.500 0.500 0.000
C1 0.270 0.770 0.000
C2 0.770 0.730 0.000
C3 0.730 0.230 0.000
C4 0.230 0.270 0.000
Br1 0.148 0.648 0.500
Br2 0.648 0.852 0.500
Br3 0.852 0.352 0.500
Br4 0.352 0.148 0.500

Entry 9:
Material: Ce3Bi2Te
Method: DFT, GGA-PBE
State: relaxed

Values from the calculation:
VASP energy: -5.773 eV per atom
spin magnetization: 3.2 μB per formula unit

Unit cell a=4.558 b=6.459 c=7.930 alpha=114.03 beta=106.70 gamma=90.00
Site moments in Bohr magnetons follow the coordinates.
Element x y z (fractional)
Ce1 0.335 0.335 0.671  0.93
Ce2 0.000 0.000 0.000  0.93
Ce3 0.665 0.665 0.329  0.93
Bi1 0.667 0.167 0.335  -0.04
Bi2 0.333 0.833 0.665  -0.04
Te1 0.000 0.500 0.000  -0.02

Entry 10:
Material: SmSi3Pt
Method: DFT, GGA-PBE
State: relaxed

Values from the calculation:
energy above the lowest structure with this stoichiometry: 0.0 kJ per mole of atoms
spin magnetization: 0.0 μB per formula unit

Unit cell a=4.321 b=4.321 c=5.674 alpha=112.38 beta=112.38 gamma=90.00
Element x y z (fractional)
Sm1 0.578 0.578 0.157
Si1 0.341 0.841 0.682
Si2 0.841 0.341 0.682
Si3 0.974 0.974 0.948
Pt1 0.224 0.224 0.448

Entry 11:
Material: Sc3MnCr
Method: DFT, GGA-PBE
State: relaxed

Values from the calculation:
DFT formation energy: 4.2 eV/f.u.
energy above the lowest structure with this stoichiometry: 0.0 kJ per mole of atoms
spin magnetization: 0.3 μB per formula unit

Unit cell a=4.728 b=4.728 c=4.728 alpha=90.00 beta=90.00 gamma=90.00
Site moments in Bohr magnetons follow the coordinates.
Element x y z (fractional)
Sc1 0.000 0.500 0.000  -0.05
Sc2 0.000 0.000 0.500  -0.05
Sc3 0.500 0.000 0.000  -0.04
Cr1 0.500 0.500 0.500  0.20
Mn1 0.000 0.000 0.000  0.29

Entry 12:
Material: La2AsBr
Method: DFT, GGA-PBE
State: relaxed

Values from the calculation:
VASP energy: -5.126 eV per atom
spin magnetization: 0.0 μB per formula unit

Unit cell a=7.150 b=7.150 c=7.150 alpha=145.01 beta=145.01 gamma=50.32
Element x y z (fractional)
As1 0.500 0.500 0.000
Br1 0.750 0.250 0.500
La1 0.000 0.000 0.000
La2 0.250 0.750 0.500

Entry 13:
Material: YAl20Cr2
Method: DFT, GGA-PBE
State: relaxed

Values from the calculation:
DFT formation energy: -3.4 eV/f.u.
spin magnetization: 1.6 μB per formula unit

Unit cell a=10.198 b=10.198 c=10.198 alpha=60.00 beta=60.00 gamma=60.00
Site moments in Bohr magnetons follow the coordinates.
Element x y z (fractional)
Y1 0.500 0.500 0.500  0.02
Y2 0.750 0.750 0.750  0.02
Al1 0.863 0.863 0.137  -0.01
Al2 0.137 0.137 0.863  -0.01
Al3 0.863 0.137 0.863  -0.01
Al4 0.137 0.863 0.137  -0.01
Al5 0.137 0.863 0.863  -0.01
Al6 0.863 0.137 0.137  -0.01
Al7 0.387 0.387 0.113  -0.01
Al8 0.113 0.113 0.387  -0.01
Al9 0.387 0.113 0.387  -0.01
Al10 0.113 0.387 0.113  -0.01
Al11 0.113 0.387 0.387  -0.01
Al12 0.387 0.113 0.113  -0.01
Al13 0.568 0.299 0.299  -0.01
Al14 0.299 0.568 0.835  -0.01
Al15 0.299 0.835 0.568  -0.01
Al16 0.835 0.299 0.299  -0.01
Al17 0.299 0.299 0.568  -0.01
Al18 0.568 0.835 0.299  -0.01
Al19 0.835 0.568 0.299  -0.01
Al20 0.299 0.299 0.835  -0.01
Al21 0.299 0.568 0.299  -0.01
Al22 0.835 0.299 0.568  -0.01
Al23 0.568 0.299 0.835  -0.01
Al24 0.299 0.835 0.299  -0.01
Al25 0.682 0.951 0.951  -0.01
Al26 0.951 0.682 0.415  -0.01
Al27 0.951 0.415 0.682  -0.01
Al28 0.415 0.951 0.951  -0.01
Al29 0.951 0.951 0.682  -0.01
Al30 0.682 0.415 0.951  -0.01
Al31 0.415 0.682 0.951  -0.01
Al32 0.951 0.951 0.415  -0.01
Al33 0.951 0.682 0.951  -0.01
Al34 0.415 0.951 0.682  -0.01
Al35 0.682 0.951 0.415  -0.01
Al36 0.951 0.415 0.951  -0.01
Al37 0.125 0.625 0.625  0.00
Al38 0.625 0.125 0.625  0.00
Al39 0.625 0.625 0.125  0.00
Al40 0.625 0.625 0.625  0.00
Cr1 0.625 0.125 0.125  0.82
Cr2 0.125 0.625 0.125  0.82
Cr3 0.125 0.125 0.625  0.82
Cr4 0.125 0.125 0.125  0.82

Entry 14:
Material: MgAsF2
Method: DFT, GGA-PBE
State: relaxed

Values from the calculation:
energy above the lowest structure with this stoichiometry: 102.5 kJ per mole of atoms
spin magnetization: 0.0 μB per formula unit

Unit cell a=7.991 b=7.991 c=7.991 alpha=21.97 beta=21.97 gamma=21.97
Element x y z (fractional)
As1 0.500 0.500 0.500
Mg1 0.000 0.000 0.000
F1 0.919 0.919 0.919
F2 0.081 0.081 0.081

Entry 15:
Material: Sn2SbMoSe
Method: DFT, GGA-PBE
State: relaxed

Values from the calculation:
VASP energy: -4.919 eV per atom
spin magnetization: 0.9 μB per formula unit

Unit cell a=5.458 b=4.689 c=5.458 alpha=90.00 beta=90.00 gamma=90.00
Site moments in Bohr magnetons follow the coordinates.
Element x y z (fractional)
Sb1 0.500 0.500 0.500  0.20
Mo1 0.000 0.000 0.000  0.41
Sn1 0.000 0.000 0.500  -0.02
Sn2 0.500 0.000 0.000  -0.01
Se1 0.000 0.500 0.000  0.00

Entry 16:
Material: TmZrRh2
Method: DFT, GGA-PBE
State: relaxed

Values from the calculation:
DFT formation energy: -3.5 eV/f.u.
spin magnetization: 0.0 μB per formula unit

Unit cell a=3.321 b=3.321 c=6.791 alpha=90.00 beta=90.00 gamma=90.00
Element x y z (fractional)
Tm1 0.500 0.500 0.500
Rh1 0.000 0.000 0.766
Rh2 0.000 0.000 0.234
Zr1 0.500 0.500 0.000